Entry 1:
Ba2Na2Ge3: optimized geometry, PBE-GGA.

Unit cell a=11.3309 b=5.1226 c=7.2853 alpha=90.00 beta=103.83 gamma=90.00
Closest atoms and distances in Å follow each position.
Space group C2/m (No. 12)
Asymmetric unit:
Ba 0.1591 0.0000 0.2270 [4 per cell]  5 Ge 3.34-3.70, 5 Na 3.39-3.71
Na 0.1267 0.0000 0.7074 [4 per cell]  4 Ge 3.07-3.14, 1 Ba 3.39
Ge 0.0000 0.5000 0.5000 [2 per cell]  2 Ge 2.93, 4 Na 3.14
Ge 0.0808 0.5000 0.9128 [4 per cell]  1 Ge 2.47

## Properties
- Spin magnetization: 0.0 μB per formula unit

***

Entry 2:
Ba3NaGe: optimized geometry, PBE-GGA.

Unit cell a=4.9942 b=7.9360 c=12.2302 alpha=91.21 beta=90.08 gamma=108.34
Closest atoms and distances in Å follow each position.
Space group P-1 (No. 2)
Asymmetric unit:
Ba 0.0603 0.1200 0.1324 [2 per cell]  4 Ge 3.44-3.45, 1 Ba 3.67
Ba 0.2234 0.4480 0.8596 [2 per cell]  3 Ge 3.40-3.70
Ba 0.4321 0.8625 0.3427 [2 per cell]  1 Ge 3.49
Na 0.1698 0.3413 0.4299 [2 per cell]  2 Na 3.83-3.84, 4 Ba 3.97-4.09
Ge 0.4125 0.8260 0.0580 [2 per cell]  1 Ge 3.01

## Properties
- Spin magnetization: 0.5 μB per formula unit
- Energy above the lowest structure with this stoichiometry: 0.0 kJ/mol of atoms

***

Entry 3:
BaNaGe2: optimized geometry, PBE-GGA.

Unit cell a=7.6780 b=7.6780 c=7.6780 alpha=90.00 beta=90.00 gamma=90.00
Closest atoms and distances in Å follow each position.
Space group Fm-3m (No. 225)
Asymmetric unit:
Ba 0.0000 0.0000 0.0000 [4 per cell]  8 Ge 3.32
Na 0.0000 0.0000 0.5000 [4 per cell]  8 Ge 3.32
Ge 0.2500 0.2500 0.2500 [8 per cell]  4 Ba 3.32, 4 Na 3.32

## Properties
- Spin magnetization: 0.0 μB per formula unit
- Energy above the lowest structure with this stoichiometry: 32.2 kJ/mol of atoms

***

Entry 4:
Ba3NaGe: optimized geometry, PBE-GGA.

Unit cell a=6.5658 b=6.5658 c=6.5658 alpha=90.00 beta=90.00 gamma=90.00
Closest atoms and distances in Å follow each position.
Space group Pm-3m (No. 221)
Asymmetric unit:
Ba 0.0000 0.0000 0.5000 [3 per cell]  2 Ge 3.28
Na 0.5000 0.5000 0.5000 [1 per cell]  12 Ba 4.64
Ge 0.0000 0.0000 0.0000 [1 per cell]  6 Ba 3.28

## Properties
- Spin magnetization: 0.0 μB per formula unit
- Energy above the lowest structure with this stoichiometry: 2.9 kJ/mol of atoms

***

Entry 5:
BaNa2Ge2: optimized geometry, PBE-GGA.

Unit cell a=8.9947 b=8.9947 c=3.2541 alpha=90.00 beta=90.00 gamma=90.00
Closest atoms and distances in Å follow each position.
Space group P4/mbm (No. 127)
Asymmetric unit:
Ba 0.0000 0.0000 0.0000 [2 per cell]  2 Ba 3.25, 4 Na 3.61
Na 0.1159 0.3841 0.0000 [4 per cell]  3 Na 2.95-3.25, 6 Ge 3.05-3.18
Ge 0.1812 0.6812 0.5000 [4 per cell]  6 Na 3.05-3.18, 2 Ge 3.25

## Properties
- Spin magnetization: 0.0 μB per formula unit
- Energy above the lowest structure with this stoichiometry: 19.3 kJ/mol of atoms

***

Entry 6:
BaNaGe4: optimized geometry, PBE-GGA.

Unit cell a=4.4012 b=4.8459 c=7.7496 alpha=90.00 beta=90.00 gamma=90.00
Closest atoms and distances in Å follow each position.
Space group Pmmm (No. 47)
Asymmetric unit:
Ba 0.0000 0.0000 0.0000 [1 per cell]  12 Ge 3.53-3.58
Na 0.5000 0.0000 0.5000 [1 per cell]  12 Ge 3.50-3.52
Ge 0.0000 0.5000 0.3405 [2 per cell]  3 Ge 2.47-2.56
Ge 0.5000 0.5000 0.1712 [2 per cell]  3 Ge 2.56-2.65

## Properties
- Spin magnetization: 0.0 μB per formula unit
- Energy above the lowest structure with this stoichiometry: 0.0 kJ/mol of atoms

***

Entry 7:
BaNa2Ge2: optimized geometry, PBE-GGA.

Unit cell a=4.7892 b=4.7892 c=12.9100 alpha=90.00 beta=90.00 gamma=90.00
Closest atoms and distances in Å follow each position.
Space group I4/mmm (No. 139)
Asymmetric unit:
Ba 0.0000 0.0000 0.0000 [2 per cell]  8 Ge 3.59, 8 Na 4.02
Na 0.0000 0.5000 0.2500 [4 per cell]  4 Ge 3.14, 4 Na 3.39
Ge 0.0000 0.0000 0.4068 [4 per cell]  1 Ge 2.41

## Properties
- Spin magnetization: 0.0 μB per formula unit
- Energy above the lowest structure with this stoichiometry: 0.0 kJ/mol of atoms

***

Entry 8:
BaNa2Ge4: optimized geometry, PBE-GGA.

Unit cell a=5.8057 b=5.8057 c=15.4294 alpha=90.00 beta=90.00 gamma=90.00
Closest atoms and distances in Å follow each position.
Space group I4/mmm (No. 139)
Asymmetric unit:
Ba 0.0000 0.0000 0.0000 [2 per cell]  6 Ge 2.90-3.08
Na 0.0000 0.0000 0.3930 [4 per cell]  5 Ge 2.98-3.34, 1 Na 3.30
Ge 0.0000 0.0000 0.1996 [4 per cell]  1 Na 2.98, 1 Ba 3.08
Ge 0.0000 0.5000 0.0000 [4 per cell]  2 Ba 2.90

## Properties
- Spin magnetization: 0.0 μB per formula unit

***

Entry 9:
Ba2NaGe: optimized geometry, PBE-GGA.

Unit cell a=4.1248 b=4.1248 c=9.7011 alpha=90.00 beta=90.00 gamma=90.00
Closest atoms and distances in Å follow each position.
Space group P4/mmm (No. 123)
Asymmetric unit:
Ba 0.0000 0.0000 0.1898 [2 per cell]  4 Ge 3.45, 1 Ba 3.68
Na 0.5000 0.5000 0.5000 [1 per cell]  4 Na 4.12, 8 Ba 4.19
Ge 0.5000 0.5000 0.0000 [1 per cell]  8 Ba 3.45

## Properties
- Spin magnetization: 0.0 μB per formula unit

***

Entry 10:
BaNa3Ge: optimized geometry, PBE-GGA.

Unit cell a=5.7358 b=5.7358 c=5.7358 alpha=90.00 beta=90.00 gamma=90.00
Closest atoms and distances in Å follow each position.
Space group Pm-3m (No. 221)
Asymmetric unit:
Ba 0.0000 0.0000 0.0000 [1 per cell]  12 Na 4.06
Na 0.0000 0.5000 0.5000 [3 per cell]  2 Ge 2.87
Ge 0.5000 0.5000 0.5000 [1 per cell]  6 Na 2.87

## Properties
- Spin magnetization: 0.0 μB per formula unit
- Energy above the lowest structure with this stoichiometry: 0.0 kJ/mol of atoms

***

Entry 11:
BaNa2Ge: optimized geometry, PBE-GGA.

Unit cell a=4.9182 b=4.9182 c=23.2511 alpha=90.00 beta=90.00 gamma=90.00
Closest atoms and distances in Å follow each position.
Space group I-42d (No. 122)
Asymmetric unit:
Ba 0.0000 0.0000 0.0000 [4 per cell]  4 Ge 3.48, 4 Na 3.54
Na 0.1723 0.2500 0.6250 [8 per cell]  2 Na 2.99, 2 Ge 3.27
Ge 0.0000 0.0000 0.5000 [4 per cell]  4 Na 3.27, 4 Ba 3.48

## Properties
- Spin magnetization: 0.0 μB per formula unit

***

Entry 12:
Ba2NaGe: optimized geometry, PBE-GGA.

Unit cell a=4.8077 b=4.8077 c=30.3453 alpha=90.00 beta=90.00 gamma=120.00
Closest atoms and distances in Å follow each position.
Space group R3m (No. 160, hexagonal axes)
Asymmetric unit:
Ba 0.0000 0.0000 0.0000 [3 per cell]  3 Ge 3.32
Ba 0.0000 0.0000 0.2146 [3 per cell]  3 Ge 3.30
Na 0.0000 0.0000 0.4432 [3 per cell]  6 Ba 4.22-4.34
Ge 0.0000 0.0000 0.6066 [3 per cell]  6 Ba 3.30-3.32

## Properties
- Spin magnetization: 0.7 μB per formula unit

***

DOS(E_F) (states/eV per cell)
4.7; 9.9; 11.5; 6.0; 4.4; 3.4; 3.6; 15.0; 2.7; 4.3; 14.3; 11.9
Energy of formation from the pure elements (eV per atom)
-0.283; -0.211; -0.091; -0.181; -0.101; -0.242; -0.301; 0.842; -0.284; 0.043; 0.000; -0.184
Volume (A^3/atom)
29.33; 46.00; 28.29; 56.61; 26.33; 27.55; 29.61; 37.15; 41.26; 37.74; 35.15; 50.62